1.
Compound: Tb3Dy2Si4
Source: Alexandria
Functional: PBE-GGA
Structure: optimized geometry

a b c (Å): 7.468 7.645 7.707
angles (deg): 90.00 90.00 105.98
Fractional coordinates of all 18 atoms:
Tb1 0.254 0.242 0.682
Tb2 0.746 0.758 0.318
Tb3 0.500 0.500 0.000
Tb4 0.754 0.242 0.818
Tb5 0.000 0.500 0.500
Tb6 0.246 0.758 0.182
Si1 0.619 0.918 0.027
Si2 0.878 0.490 0.120
Si3 0.881 0.082 0.527
Si4 0.378 0.490 0.380
Si5 0.381 0.082 0.973
Si6 0.119 0.918 0.473
Si7 0.122 0.510 0.880
Si8 0.622 0.510 0.620
Dy1 0.908 0.798 0.817
Dy2 0.092 0.202 0.183
Dy3 0.592 0.202 0.317
Dy4 0.408 0.798 0.683

## Properties
Uncorrected formation energy   -0.734 eV per atom
Space group   P2_1/c
Magnetic moment   0.000 μB per cell


2.
Compound: NpNiPbS4
Source: Alexandria
Functional: PBE-GGA
Structure: optimized geometry

a b c (Å): 6.516 5.653 8.242
angles (deg): 90.00 106.44 90.00
Fractional coordinates of all 14 atoms:
S1 0.981 0.487 0.276
S2 0.019 0.987 0.724
S3 0.431 0.750 0.598
S4 0.431 0.750 0.148
S5 0.569 0.250 0.852
S6 0.569 0.250 0.402
S7 0.981 0.013 0.276
S8 0.019 0.513 0.724
Ni1 0.232 0.750 0.337
Ni2 0.768 0.250 0.663
Pb1 0.282 0.250 0.057
Pb2 0.718 0.750 0.943
Np1 0.253 0.250 0.556
Np2 0.747 0.750 0.444

## Properties
Uncorrected formation energy   -0.748 eV per atom
Space group   P2_1/m
Magnetic moment   4.386 μB per cell


3.
Compound: NaIn2Si2
Source: Alexandria
Functional: PBE-GGA
Structure: optimized geometry

a b c (Å): 4.889 4.889 6.115
angles (deg): 66.43 66.43 90.00
Fractional coordinates of all 5 atoms:
Si1 0.383 0.383 0.234
Si2 0.617 0.617 0.766
In1 0.750 0.250 0.500
In2 0.250 0.750 0.500
Na1 0.000 0.000 0.000

## Properties
Uncorrected formation energy   0.116 eV per atom
Space group   I4/mmm
Magnetic moment   0.000 μB per cell


4.
Compound: SeSO3
Source: Alexandria
Functional: PBE-GGA
Structure: optimized geometry

a b c (Å): 4.710 10.464 7.960
angles (deg): 131.09 107.21 90.00
Fractional coordinates of all 10 atoms:
S1 0.633 0.743 0.500
S2 0.133 0.257 0.500
Se1 0.554 0.152 0.500
Se2 0.054 0.848 0.500
O1 0.156 0.394 0.500
O2 0.891 0.086 0.282
O3 0.109 0.304 0.718
O4 0.609 0.914 0.718
O5 0.656 0.606 0.500
O6 0.391 0.696 0.282

## Properties
Uncorrected formation energy   -0.435 eV per atom
Space group   Ima2
Magnetic moment   0.140 μB per cell